# 1
A relaxed structure of Be2SeBr. Source: the Alexandria database, functional PBE.

- E_form (uncorrected) (kJ/mol of formula units) = 188
- calculated volume (A^3/atom) = 17.06
- crystal system = tetragonal
- total magnetic moment (μB/atom) = 0.000
- N(E_F) (states/eV/cell) = 0.85
- ρ (g/cm³) = 4.30
- space group = P4/mmm (123)
- energy above the lowest structure with this stoichiometry (meV per atom) = 784

Cell: 3.2287 3.2281 6.5484 Å, 90.00 90.00 90.00°
Last column: nearest neighbours and their distance in Å.
Positions (direct):
1 Be 0.0000 0.0000 0.9299  1 Be 2.36, 4 Se 2.57
2 Be 0.0000 0.0000 0.5701  1 Be 2.36, 4 Se 2.57
3 Se 0.5000 0.5000 0.7500  8 Be 2.57
4 Br 0.5000 0.5000 0.2500  8 Be 3.10, 4 Br 3.23, 2 Se 3.27



# 2
A relaxed structure of Nd8Mg2Al. Source: the Alexandria database, functional PBE.

- DFT formation energy (eV/f.u.) = -0.2
- calculated volume (A^3/atom) = 31.95
- crystal system = monoclinic
- total magnetic moment (μB/atom) = 0.000
- N(E_F) (states/eV/cell) = 13.83
- ρ (g/cm³) = 5.81
- space group = C2/m (12)

Cell: 5.4438 7.3949 9.5809 Å, 107.37 106.50 90.00°
Last column: nearest neighbours and their distance in Å.
Positions (direct):
1 Nd 0.4066 0.5519 0.8132  1 Al 3.22, 2 Mg 3.43, 3 Nd 3.49-3.52
2 Nd 0.6617 0.9489 0.3233  1 Al 3.11, 3 Mg 3.17-3.40
3 Nd 0.8083 0.7281 0.6167  3 Mg 3.19-3.49, 3 Nd 3.55-3.56
4 Nd 0.9805 0.2309 0.9610  1 Mg 3.26, 2 Al 3.29, 2 Nd 3.49
5 Nd 0.1917 0.2719 0.3833  3 Mg 3.19-3.49, 3 Nd 3.55-3.56
6 Nd 0.3383 0.0511 0.6767  1 Al 3.11, 3 Mg 3.17-3.40
7 Nd 0.5934 0.4481 0.1868  1 Al 3.22, 2 Mg 3.43, 3 Nd 3.49-3.52
8 Nd 0.0195 0.7691 0.0390  1 Mg 3.26, 2 Al 3.29, 2 Nd 3.49
9 Mg 0.8140 0.3011 0.6279  9 Nd 3.17-3.49
10 Mg 0.1860 0.6989 0.3721  9 Nd 3.17-3.49
11 Al 0.5000 0.0000 0.0000  8 Nd 3.11-3.29



# 3
A relaxed structure of PmErH4. Source: the Alexandria database, functional PBE.

- calculated volume (A^3/atom) = 12.13
- crystal system = tetragonal
- total magnetic moment (μB/atom) = 0.000
- raw total energy (eV per atom) = -4.4667
- N(E_F) (states/eV/cell) = 4.03
- ρ (g/cm³) = 7.22
- space group = I4_1/amd (141)

Cell: 5.2556 5.2556 6.4469 Å, 114.05 114.05 90.00°
Last column: nearest neighbours and their distance in Å.
Positions (direct):
1 Pm 0.0000 0.0000 0.0000  8 H 2.32
2 Pm 0.7500 0.2500 0.5000  8 H 2.32
3 Er 0.2500 0.7500 0.5000  8 H 2.23
4 Er 0.5000 0.5000 0.0000  8 H 2.23
5 H 0.1393 0.1250 0.7500  2 Er 2.23, 2 Pm 2.32, 1 H 2.48
6 H 0.8750 0.8607 0.2500  2 Er 2.23, 2 Pm 2.32, 1 H 2.48
7 H 0.1393 0.6250 0.7500  2 Er 2.23, 2 Pm 2.32, 1 H 2.48
8 H 0.3750 0.3893 0.2500  2 Er 2.23, 2 Pm 2.32, 1 H 2.48
9 H 0.6107 0.1250 0.7500  2 Er 2.23, 2 Pm 2.32, 1 H 2.48
10 H 0.6107 0.6250 0.7500  2 Er 2.23, 2 Pm 2.32, 1 H 2.48
11 H 0.3750 0.8607 0.2500  2 Er 2.23, 2 Pm 2.32, 1 H 2.48
12 H 0.8750 0.3893 0.2500  2 Er 2.23, 2 Pm 2.32, 1 H 2.48



# 4
A relaxed structure of CsCaSb2. Source: the Alexandria database, functional PBE.

- E_form (uncorrected) (kJ/mol of formula units) = -88
- calculated volume (A^3/atom) = 35.60
- crystal system = cubic
- total magnetic moment (μB/atom) = 0.000
- N(E_F) (states/eV/cell) = 3.29
- ρ (g/cm³) = 4.86
- space group = Fm-3m (225)
- energy above the lowest structure with this stoichiometry (meV per atom) = 160

Cell: 5.8617 5.8617 5.8617 Å, 60.00 60.00 60.00°
Last column: nearest neighbours and their distance in Å.
Positions (direct):
1 Cs 0.5000 0.5000 0.5000  8 Sb 3.59
2 Sb 0.2500 0.2500 0.2500  4 Cs 3.59, 4 Ca 3.59
3 Sb 0.7500 0.7500 0.7500  4 Ca 3.59, 4 Cs 3.59
4 Ca 0.0000 0.0000 0.0000  8 Sb 3.59



# 5
A relaxed structure of Ti2NbAl5Rh2. Source: the Alexandria database, functional PBE.

- DFT formation energy (eV/f.u.) = -6.3
- calculated volume (A^3/atom) = 15.90
- crystal system = tetragonal
- total magnetic moment (μB/atom) = 0.000
- N(E_F) (states/eV/cell) = 7.70
- ρ (g/cm³) = 5.53
- space group = P4/mbm (127)

Cell: 4.0701 8.8388 8.8388 Å, 90.00 90.00 90.00°
Last column: nearest neighbours and their distance in Å.
Positions (direct):
1 Ti 0.0000 0.6736 0.1736  3 Rh 2.53-2.67
2 Ti 0.0000 0.3264 0.8264  3 Rh 2.53-2.67
3 Ti 0.0000 0.1736 0.3264  3 Rh 2.53-2.67
4 Ti 0.0000 0.8264 0.6736  3 Rh 2.53-2.67
5 Nb 0.0000 0.0000 0.0000  8 Al 2.80
6 Nb 0.0000 0.5000 0.5000  8 Al 2.80
7 Al 0.5000 0.2064 0.0701  2 Rh 2.57, 4 Al 2.67-2.79, 2 Nb 2.80
8 Al 0.5000 0.7936 0.9299  2 Rh 2.57, 4 Al 2.67-2.79, 2 Nb 2.80
9 Al 0.5000 0.0701 0.7936  2 Rh 2.57, 4 Al 2.67-2.79, 2 Nb 2.80
10 Al 0.5000 0.7064 0.4299  2 Rh 2.57, 4 Al 2.67-2.79, 2 Nb 2.80
11 Al 0.5000 0.9299 0.2064  2 Rh 2.57, 4 Al 2.67-2.79, 2 Nb 2.80
12 Al 0.5000 0.2936 0.5701  2 Rh 2.57, 4 Al 2.67-2.79, 2 Nb 2.80
13 Al 0.5000 0.5701 0.7064  2 Rh 2.57, 4 Al 2.67-2.79, 2 Nb 2.80
14 Al 0.5000 0.4299 0.2936  2 Rh 2.57, 4 Al 2.67-2.79, 2 Nb 2.80
15 Al 0.5000 0.5000 0.0000  4 Rh 2.56, 4 Al 2.67
16 Al 0.5000 0.0000 0.5000  4 Rh 2.56, 4 Al 2.67
17 Rh 0.0000 0.1243 0.6243  3 Ti 2.53-2.67, 6 Al 2.56-2.57
18 Rh 0.0000 0.8757 0.3757  3 Ti 2.53-2.67, 6 Al 2.56-2.57
19 Rh 0.0000 0.6243 0.8757  3 Ti 2.53-2.67, 6 Al 2.56-2.57
20 Rh 0.0000 0.3757 0.1243  3 Ti 2.53-2.67, 6 Al 2.56-2.57



# 6
A relaxed structure of BeAl2Cd. Source: the Alexandria database, functional PBE.

- DFT formation energy (eV/f.u.) = 1.1
- calculated volume (A^3/atom) = 17.39
- crystal system = monoclinic
- total magnetic moment (μB/atom) = 0.000
- N(E_F) (states/eV/cell) = 1.08
- ρ (g/cm³) = 4.19
- space group = Cm (8)
- energy above the lowest structure with this stoichiometry (meV per atom) = 57

Cell: 4.6817 4.6817 6.0170 Å, 71.03 71.03 34.11°
Last column: nearest neighbours and their distance in Å.
Positions (direct):
1 Be 0.4822 0.4822 0.3923  5 Al 2.46-2.52, 2 Cd 2.64, 2 Be 2.75
2 Al 0.9998 0.9998 0.0328  2 Be 2.52, 2 Al 2.75
3 Al 0.2220 0.2220 0.3186  3 Be 2.46-2.51, 2 Al 2.75
4 Cd 0.7960 0.7960 0.7563  2 Be 2.64, 2 Cd 2.75, 3 Al 2.86-2.95



# 7
A relaxed structure of Pm8Ga2Fe. Source: the Alexandria database, functional PBE.

- DFT formation energy (eV/f.u.) = -1.7
- calculated volume (A^3/atom) = 28.12
- crystal system = monoclinic
- total magnetic moment (μB/atom) = 0.065
- N(E_F) (states/eV/cell) = 11.31
- ρ (g/cm³) = 7.27
- space group = C2/m (12)

Cell: 5.0755 6.8818 9.3603 Å, 100.17 105.73 90.00°
Last column: nearest neighbours and their distance in Å.
Positions (direct):
1 Pm 0.4081 0.5454 0.8161  1 Fe 3.26, 6 Pm 3.44-3.54, 2 Ga 3.49
2 Pm 0.6502 0.9681 0.3005  1 Fe 2.76
3 Pm 0.7938 0.6970 0.5876  3 Ga 3.08-3.20
4 Pm 0.9807 0.2219 0.9614  2 Fe 3.01, 1 Ga 3.14, 1 Pm 3.25
5 Pm 0.2062 0.3030 0.4124  3 Ga 3.08-3.20
6 Pm 0.3498 0.0319 0.6995  1 Fe 2.76
7 Pm 0.5919 0.4546 0.1839  1 Fe 3.26, 6 Pm 3.44-3.54, 2 Ga 3.49
8 Pm 0.0193 0.7781 0.0386  2 Fe 3.01, 1 Ga 3.14, 1 Pm 3.25
9 Ga 0.8097 0.2589 0.6194  7 Pm 3.08-3.20
10 Ga 0.1903 0.7411 0.3806  7 Pm 3.08-3.20
11 Fe 0.5000 0.0000 0.0000  6 Pm 2.76-3.01



# 8
A relaxed structure of TlTe3Ir. Source: the Alexandria database, functional PBE.

- E_form (uncorrected) (kJ/mol of formula units) = 138
- calculated volume (A^3/atom) = 30.81
- crystal system = cubic
- total magnetic moment (μB/atom) = 0.000
- N(E_F) (states/eV/cell) = 8.34
- ρ (g/cm³) = 8.40
- space group = Pm-3m (221)
- energy above the lowest structure with this stoichiometry (meV per atom) = 414

Cell: 5.3605 5.3605 5.3605 Å, 90.00 90.00 90.00°
Last column: nearest neighbours and their distance in Å.
Positions (direct):
1 Tl 0.5000 0.5000 0.5000  12 Te 3.79
2 Ir 0.0000 0.0000 0.0000  6 Te 2.68
3 Te 0.0000 0.5000 0.0000  2 Ir 2.68
4 Te 0.0000 0.0000 0.5000  2 Ir 2.68
5 Te 0.5000 0.0000 0.0000  2 Ir 2.68



# 9
A relaxed structure of LiMg3. Source: the Alexandria database, functional PBE.

- DFT formation energy (eV/f.u.) = -0.1
- calculated volume (A^3/atom) = 21.86
- crystal system = trigonal
- total magnetic moment (μB/atom) = 0.000
- N(E_F) (states/eV/cell) = 1.26
- ρ (g/cm³) = 1.52
- space group = R-3m (166)

Cell: 5.8615 5.8615 5.8615 Å, 117.10 117.10 117.10°
Last column: nearest neighbours and their distance in Å.
Positions (direct):
1 Mg 0.0000 0.5000 0.5000  6 Mg 3.03-3.06, 2 Li 3.06
2 Mg 0.5000 0.0000 0.5000  6 Mg 3.03-3.06, 2 Li 3.06
3 Mg 0.5000 0.5000 0.0000  6 Mg 3.03-3.06, 2 Li 3.06
4 Li 0.0000 0.0000 0.0000  2 Li 3.03, 6 Mg 3.06



# 10
A relaxed structure of AsWSe. Source: the Alexandria database, functional PBE.

- E_form (uncorrected) (kJ/mol of formula units) = -35
- calculated volume (A^3/atom) = 19.80
- crystal system = monoclinic
- total magnetic moment (μB/atom) = 0.000
- N(E_F) (states/eV/cell) = 1.80
- ρ (g/cm³) = 9.44
- space group = C2/m (12)
- energy above the lowest structure with this stoichiometry (meV per atom) = 0

Cell: 3.3157 6.1020 6.5683 Å, 111.73 104.62 90.00°
Last column: nearest neighbours and their distance in Å.
Positions (direct):
1 W 0.7465 0.6976 0.4930  3 As 2.52-2.59, 3 Se 2.60-2.64
2 W 0.2535 0.3024 0.5070  3 As 2.52-2.59, 3 Se 2.60-2.64
3 As 0.0949 0.4705 0.1898  3 W 2.52-2.59, 1 As 2.57
4 As 0.9051 0.5295 0.8102  3 W 2.52-2.59, 1 As 2.57
5 Se 0.6303 0.9760 0.2607  3 W 2.60-2.64
6 Se 0.3697 0.0240 0.7393  3 W 2.60-2.64